--- a ---
Material: Nb2WCl
Method: DFT, PBE
State: optimized geometry

Properties
The space-group type is I-42d (122). For the volume, the calculation gives 174.43 Å³ per cell. The value obtained for the density of states at the Fermi level is 0.513 states/eV/atom. For the total magnetization, the calculation gives 0.000 μB per atom.

Cell lengths 4.9013, 4.9013, 8.0458 Å; angles 72.27, 72.27, 90.00 degrees
Atoms (fractional coordinates):
Nb1 0.6021 0.1250 0.2500
Nb2 0.1479 0.6250 0.2500
Nb3 0.3750 0.3979 0.7500
Nb4 0.8750 0.8521 0.7500
W1 0.0000 0.0000 0.0000
W2 0.7500 0.2500 0.5000
Cl1 0.5000 0.5000 0.0000
Cl2 0.2500 0.7500 0.5000

***

--- b ---
Material: Nb2WCl
Method: DFT, PBE
State: optimized geometry

Properties
The space-group type is Fm-3m (225). For the volume, the calculation gives 69.66 Å³ per cell. The value obtained for the density of states at the Fermi level is 1.605 states/eV/atom. For the total magnetization, the calculation gives 0.000 μB per atom.

Cell lengths 4.6184, 4.6184, 4.6184 Å; angles 60.00, 60.00, 60.00 degrees
Atoms (fractional coordinates):
Nb1 0.2500 0.2500 0.2500
Nb2 0.7500 0.7500 0.7500
W1 0.5000 0.5000 0.5000
Cl1 0.0000 0.0000 0.0000

***

It turns out b is the most stable, with the second structure 0.422 eV/atom higher.